1.
# TaCo2Tc (GGA-PBE, optimized geometry)
data_TaCo2Tc
_chemical_formula_sum 'Ta1 Co2 Tc1'
_cell_length_a 2.680
_cell_length_b 2.680
_cell_length_c 7.386
_cell_angle_alpha 90.00
_cell_angle_beta 90.00
_cell_angle_gamma 90.00
_space_group_name_H-M_alt 'P 4/m m m'
_space_group_IT_number 123
_space_group_name_Hall '-P 4 2'
loop_
_atom_site_label
_atom_site_type_symbol
_atom_site_fract_x
_atom_site_fract_y
_atom_site_fract_z
Ta1 Ta 0.000 0.000 0.000
Co1 Co 0.500 0.500 0.264
Tc1 Tc 0.000 0.000 0.500
# VASP energy ... -9.13 eV/atom
# Mass density ... 12.42 g cm⁻³
# Volume ... 13.26 Å³/atom
# ΔH_f (0 K) ... -22 meV/atom

2.
# TaCo2Tc (GGA-PBE, optimized geometry)
data_TaCo2Tc
_chemical_formula_sum 'Ta1 Co2 Tc1'
_cell_length_a 3.185
_cell_length_b 3.185
_cell_length_c 5.324
_cell_angle_alpha 90.00
_cell_angle_beta 90.00
_cell_angle_gamma 90.00
_space_group_name_H-M_alt 'P 4/m m m'
_space_group_IT_number 123
_space_group_name_Hall '-P 4 2'
loop_
_atom_site_label
_atom_site_type_symbol
_atom_site_fract_x
_atom_site_fract_y
_atom_site_fract_z
Ta1 Ta 0.000 0.000 0.000
Co1 Co 0.500 0.500 0.258
Tc1 Tc 0.000 0.000 0.500
# VASP energy ... -9.07 eV/atom
# Mass density ... 12.20 g cm⁻³
# Volume ... 13.50 Å³/atom
# ΔH_f (0 K) ... 40 meV/atom

3.
# TaCoTc2 (GGA-PBE, optimized geometry)
data_TaCoTc2
_chemical_formula_sum 'Ta4 Co4 Tc8'
_cell_length_a 6.164
_cell_length_b 6.164
_cell_length_c 6.164
_cell_angle_alpha 90.00
_cell_angle_beta 90.00
_cell_angle_gamma 90.00
_space_group_name_H-M_alt 'F -4 3 m'
_space_group_IT_number 216
_space_group_name_Hall 'F -4 2 3'
loop_
_atom_site_label
_atom_site_type_symbol
_atom_site_fract_x
_atom_site_fract_y
_atom_site_fract_z
Ta1 Ta 0.000 0.000 0.000
Co1 Co 0.250 0.250 0.750
Tc1 Tc 0.000 0.000 0.500
Tc2 Tc 0.250 0.250 0.250
# VASP energy ... -9.89 eV/atom
# Mass density ... 12.36 g cm⁻³
# Volume ... 14.64 Å³/atom
# ΔH_f (0 K) ... 37 meV/atom

4.
# Ta5CoTc4 (GGA-PBE, optimized geometry)
data_Ta5CoTc4
_chemical_formula_sum 'Ta5 Co1 Tc4'
_cell_length_a 3.181
_cell_length_b 3.181
_cell_length_c 15.710
_cell_angle_alpha 90.00
_cell_angle_beta 90.00
_cell_angle_gamma 90.00
_space_group_name_H-M_alt 'P 4/m m m'
_space_group_IT_number 123
_space_group_name_Hall '-P 4 2'
loop_
_atom_site_label
_atom_site_type_symbol
_atom_site_fract_x
_atom_site_fract_y
_atom_site_fract_z
Ta1 Ta 0.000 0.000 0.000
Ta2 Ta 0.000 0.000 0.203
Ta3 Ta 0.000 0.000 0.404
Co1 Co 0.500 0.500 0.500
Tc1 Tc 0.500 0.500 0.102
Tc2 Tc 0.500 0.500 0.305
# VASP energy ... -11.19 eV/atom
# Mass density ... 14.16 g cm⁻³
# Volume ... 15.90 Å³/atom
# ΔH_f (0 K) ... -411 meV/atom

5.
# Ta2Co2Tc (GGA-PBE, optimized geometry)
data_Ta2Co2Tc
_chemical_formula_sum 'Ta4 Co4 Tc2'
_cell_length_a 6.675
_cell_length_b 6.675
_cell_length_c 3.225
_cell_angle_alpha 90.00
_cell_angle_beta 90.00
_cell_angle_gamma 90.00
_space_group_name_H-M_alt 'P 4/m b m'
_space_group_IT_number 127
_space_group_name_Hall '-P 4 2ab'
loop_
_atom_site_label
_atom_site_type_symbol
_atom_site_fract_x
_atom_site_fract_y
_atom_site_fract_z
Ta1 Ta 0.177 0.323 0.000
Co1 Co 0.122 0.622 0.500
Tc1 Tc 0.000 0.000 0.500
# VASP energy ... -9.78 eV/atom
# Mass density ... 13.35 g cm⁻³
# Volume ... 14.37 Å³/atom
# ΔH_f (0 K) ... -119 meV/atom

6.
# TaCoTc4 (GGA-PBE, optimized geometry)
data_TaCoTc4
_chemical_formula_sum 'Ta4 Co4 Tc16'
_cell_length_a 7.190
_cell_length_b 7.190
_cell_length_c 7.190
_cell_angle_alpha 90.00
_cell_angle_beta 90.00
_cell_angle_gamma 90.00
_space_group_name_H-M_alt 'F -4 3 m'
_space_group_IT_number 216
_space_group_name_Hall 'F -4 2 3'
loop_
_atom_site_label
_atom_site_type_symbol
_atom_site_fract_x
_atom_site_fract_y
_atom_site_fract_z
Ta1 Ta 0.000 0.000 0.000
Co1 Co 0.250 0.250 0.250
Tc1 Tc 0.124 0.124 0.624
# VASP energy ... -9.86 eV/atom
# Mass density ... 11.29 g cm⁻³
# Volume ... 15.48 Å³/atom
# ΔH_f (0 K) ... 211 meV/atom